Here is Rb3CdW2O8 after structural relaxation from Alexandria via LeMat-Bulk. Energies are from GGA+U.

The calculation puts the uncorrected energy at -5.929 eV per atom. As for the density of states at the Fermi level: 3.3 states/eV per cell.

It has space group P-3m1 (No. 164), with a = 6.4041 Å, b = 6.4041 Å, c = 8.2167 Å, α = 90.00°, β = 90.00° and γ = 120.00°. The distinct sites, in fractional coordinates, are Rb at (0.0000, 0.0000, 0.0000), Rb at (0.3333, 0.6667, 0.6628), Cd at (0.0000, 0.0000, 0.5000), W at (0.3333, 0.6667, 0.2125), O at (0.1792, 0.3584, 0.2920) and O at (0.3333, 0.6667, 0.9931).